[1]
Density functional theory data (PBE) for a relaxed structure of LiTiTlSe3.

Cell lengths 8.5433, 3.7966, 9.5022 Å; angles 90.00, 109.29, 90.00 degrees
Space group P2_1/m (No. 11)
Unique sites:
Li 0.0687 0.2500 0.1088
Ti 0.3174 0.7500 0.3393
Tl 0.2259 0.2500 0.7587
Se 0.1275 0.2500 0.3800
Se 0.2370 0.7500 0.0648
Se 0.4634 0.7500 0.6367

E_form (uncorrected) = -937 meV per atom
Spin magnetization = 0.00 μB per atom
Electronic total energy = -4.71 eV per atom
Crystal system = monoclinic

---

[2]
Density functional theory data (PBE) for a relaxed structure of Dy2VB10.

Cell lengths 5.7169, 11.3830, 4.1487 Å; angles 90.00, 90.00, 90.00 degrees
Space group Pbam (No. 55)
Unique sites:
Dy 0.2000 0.1398 0.0000
V 0.0000 0.5000 0.5000
B 0.0567 0.3085 0.5000
B 0.1204 0.9586 0.5000
B 0.1348 0.8020 0.5000
B 0.2232 0.3814 0.1999

Spin magnetization = 0.19 μB per atom
Electronic total energy = -6.93 eV per atom
E_form = -381.0 meV per atom
Crystal system = orthorhombic

---

[3]
Density functional theory data (PBE) for a relaxed structure of BeRe2Ir.

Cell lengths 8.6586, 2.7316, 4.7504 Å; angles 90.00, 98.57, 90.00 degrees
Space group Cm (No. 8)
Unique sites:
Be 0.0000 0.0000 0.0000
Re 0.0100 0.5000 0.4906
Re 0.2535 0.5000 0.2719
Ir 0.2508 0.0000 0.8018

Spin magnetization = 0.00 μB per atom
Electronic total energy = -9.33 eV per atom
E_form = 42.3 meV per atom
Crystal system = monoclinic

---

[4]
Density functional theory data (PBE) for a relaxed structure of CaTa2Cr.

Cell lengths 5.5904, 10.1751, 2.8803 Å; angles 90.00, 107.29, 90.00 degrees
Space group C2/m (No. 12)
Unique sites:
Ca 0.0000 0.0000 0.0000
Ta 0.2500 0.2500 0.5000
Cr 0.0000 0.5000 0.0000

Spin magnetization = 0.71 μB per atom
Electronic total energy = -8.06 eV per atom
E_form = 773.1 meV per atom
Crystal system = monoclinic